(1)
Computed, not measured: Nd12SnPt6 after structural relaxation at the GGA-PBE level of DFT.

a = 8.9688 Å, b = 8.9688 Å, c = 8.9688 Å
α = 109.47°, β = 109.47°, γ = 109.47°
Atoms (fractional coordinates):
1 Pt 0.1352 0.6352 0.5000
2 Pt 0.5000 0.1352 0.6352
3 Pt 0.8648 0.3648 0.5000
4 Pt 0.6352 0.5000 0.1352
5 Pt 0.5000 0.8648 0.3648
6 Pt 0.3648 0.5000 0.8648
7 Nd 0.1803 0.6967 0.8770
8 Nd 0.8197 0.6967 0.5164
9 Nd 0.3033 0.1230 0.8197
10 Nd 0.5164 0.8197 0.6967
11 Nd 0.8770 0.1803 0.6967
12 Nd 0.1803 0.3033 0.4836
13 Nd 0.4836 0.1803 0.3033
14 Nd 0.3033 0.4836 0.1803
15 Nd 0.6967 0.5164 0.8197
16 Nd 0.1230 0.8197 0.3033
17 Nd 0.6967 0.8770 0.1803
18 Nd 0.8197 0.3033 0.1230
19 Sn 0.0000 0.0000 0.0000

Calculated values
Volume = 555 Å³ per cell
M_tot = 0.000 μB per formula unit
DFT total energy = -5.918 eV/atom
ρ = 9.0 Mg/m³



(2)
Computed, not measured: Nd4Sn8Pt after structural relaxation at the GGA-PBE level of DFT.

a = 4.4801 Å, b = 4.5316 Å, c = 17.4626 Å
α = 90.00°, β = 90.00°, γ = 90.00°
Atoms (fractional coordinates):
1 Sn 0.5000 0.0000 0.2306
2 Sn 0.0000 0.0000 0.7513
3 Sn 0.0000 0.5000 0.2324
4 Sn 0.5000 0.5000 0.7547
5 Sn 0.5000 0.5000 0.0485
6 Sn 0.0000 0.0000 0.4658
7 Sn 0.0000 0.5000 0.9322
8 Sn 0.5000 0.0000 0.5765
9 Nd 0.5000 0.5000 0.3951
10 Nd 0.5000 0.0000 0.8970
11 Nd 0.0000 0.5000 0.6079
12 Nd 0.0000 0.0000 0.0943
13 Pt 0.0000 0.0000 0.3165

Calculated values
Volume = 355 Å³ per cell
M_tot = 0.000 μB per formula unit
DFT total energy = -5.072 eV/atom
ρ = 8.1 Mg/m³



(3)
Computed, not measured: NdSnPt4 after structural relaxation at the GGA-PBE level of DFT.

a = 4.3724 Å, b = 5.6295 Å, c = 10.7528 Å
α = 90.00°, β = 101.73°, γ = 90.00°
Atoms (fractional coordinates):
1 Pt 0.0000 0.5000 0.0000
2 Pt 0.7896 0.5074 0.5793
3 Pt 0.3258 0.2500 0.6516
4 Pt 0.7896 0.9926 0.5793
5 Pt 0.2104 0.0074 0.4207
6 Pt 0.0000 0.0000 0.0000
7 Pt 0.6742 0.7500 0.3484
8 Pt 0.2104 0.4926 0.4207
9 Sn 0.8976 0.2500 0.7952
10 Sn 0.1024 0.7500 0.2048
11 Nd 0.3923 0.7500 0.7846
12 Nd 0.6077 0.2500 0.2154

Calculated values
Volume = 259 Å³ per cell
M_tot = 0.000 μB per formula unit
DFT total energy = -6.070 eV/atom
Polymorph energy (0 for the lowest one) = 0.168 eV per atom
ρ = 13.4 Mg/m³



(4)
Computed, not measured: Nd4SnPt after structural relaxation at the GGA-PBE level of DFT.

a = 5.6007 Å, b = 6.5203 Å, c = 10.8804 Å
α = 90.00°, β = 104.91°, γ = 90.00°
Atoms (fractional coordinates):
1 Nd 0.8966 0.3221 0.7932
2 Nd 0.2996 0.5763 0.5992
3 Nd 0.1034 0.8221 0.2068
4 Nd 0.7005 0.5680 0.4010
5 Nd 0.4477 0.8224 0.8953
6 Nd 0.5523 0.3224 0.1047
7 Nd 0.2995 0.0680 0.5990
8 Nd 0.7004 0.0763 0.4008
9 Pt 0.4184 0.3222 0.8368
10 Pt 0.5816 0.8222 0.1632
11 Sn 0.8459 0.8223 0.6917
12 Sn 0.1541 0.3223 0.3083

Calculated values
Volume = 384 Å³ per cell
M_tot = 0.000 μB per formula unit
DFT total energy = -5.415 eV/atom
Polymorph energy (0 for the lowest one) = 0.087 eV per atom
ρ = 7.7 Mg/m³